[1]
DFT (PBE) results for an optimized crystal structure of NaHgPt.

extended XYZ file:
```
3
Lattice="0.0000 3.2172 3.2172 3.2172 0.0000 3.2172 3.2172 3.2172 0.0000" Properties=species:S:1:pos:R:3 pbc="T T T"
Pt 4.8257 4.8257 4.8257
Na 0.0000 0.0000 0.0000
Hg 1.6086 1.6086 1.6086
```

polymorph energy (0 for the lowest one): 375 meV per atom
electronic total energy: -2.22 eV per atom
crystal system: cubic
space group: F-43m (216)

***

[2]
DFT (PBE) results for an optimized crystal structure of Na2TlPt.

extended XYZ file:
```
4
Lattice="0.0000 3.4553 3.4553 3.4553 0.0000 3.4553 3.4553 3.4553 0.0000" Properties=species:S:1:pos:R:3 pbc="T T T"
Na 0.0000 0.0000 0.0000
Tl 3.4553 3.4553 3.4553
Pt 1.7277 1.7277 1.7277
Na 5.1830 5.1830 5.1830
```

electronic total energy: -2.92 eV per atom
crystal system: cubic
space group: F-43m (216)